[1]
{"formula": "SrLiMg", "functional": "PBE-GGA", "state": "optimized geometry", "delta_e_f_mev_per_atom": -28, "e_above_lowest_polymorph_ev_per_atom": 0.021, "lattice": [[-0.557, -4.401, 2.400], [-1.592, -5.695, -10.813], [6.183, -0.994, -0.387]], "species": ["Li", "Li", "Li", "Li", "Sr", "Sr", "Sr", "Sr", "Mg", "Mg", "Mg", "Mg"], "fractional_positions": [[0.000, 0.500, 0.000], [0.500, 0.000, 0.500], [0.500, 0.000, 0.000], [0.000, 0.500, 0.500], [0.000, 0.784, 0.750], [0.500, 0.716, 0.250], [0.500, 0.284, 0.750], [0.000, 0.216, 0.250], [0.000, 0.934, 0.250], [0.000, 0.066, 0.750], [0.500, 0.566, 0.750], [0.500, 0.434, 0.250]]}

=====

[2]
{"formula": "YMo5", "functional": "PBE-GGA", "state": "optimized geometry", "delta_e_f_mev_per_atom": 202, "e_above_lowest_polymorph_ev_per_atom": 0.000, "lattice": [[1.609, 5.207, 0.003], [-1.609, 5.207, 0.003], [0.000, 2.067, 6.201]], "species": ["Y", "Mo", "Mo", "Mo", "Mo", "Mo"], "fractional_positions": [[0.500, 0.500, 0.500], [0.826, 0.826, 0.324], [0.177, 0.177, 0.150], [0.500, 0.500, 0.000], [0.823, 0.823, 0.850], [0.174, 0.174, 0.676]]}

=====

[3]
{"formula": "SrGd2Ir", "functional": "PBE-GGA", "state": "optimized geometry", "delta_e_f_mev_per_atom": -411, "e_above_lowest_polymorph_ev_per_atom": 0.000, "lattice": [[4.146, 0.000, 0.000], [2.073, 3.590, 0.000], [2.073, 1.197, 9.744]], "species": ["Gd", "Gd", "Sr", "Ir"], "fractional_positions": [[0.716, 0.716, 0.853], [0.284, 0.284, 0.147], [0.500, 0.500, 0.500], [0.000, 0.000, 0.000]]}

=====

[4]
{"formula": "RbVRh3", "functional": "PBE-GGA", "state": "optimized geometry", "delta_e_f_mev_per_atom": 665, "e_above_lowest_polymorph_ev_per_atom": 0.000, "lattice": [[4.672, 0.000, 0.000], [0.000, 4.672, 0.000], [0.000, 0.000, 4.672]], "species": ["Rh", "Rh", "Rh", "Rb", "V"], "fractional_positions": [[0.500, 0.000, 0.000], [0.000, 0.000, 0.500], [0.000, 0.500, 0.000], [0.500, 0.500, 0.500], [0.000, 0.000, 0.000]]}

=====

[5]
{"formula": "Ac2HRh", "functional": "PBE-GGA", "state": "optimized geometry", "e_above_lowest_polymorph_ev_per_atom": 0.293, "lattice": [[-0.816, -3.194, -1.388], [2.872, -1.423, 1.587], [-4.114, -1.573, 6.038]], "species": ["Ac", "Ac", "Rh", "H"], "fractional_positions": [[0.000, 0.000, 0.750], [0.000, 0.000, 0.250], [0.500, 0.500, 0.000], [0.500, 0.500, 0.500]]}

=====

[6]
{"formula": "LaTbMgGa", "functional": "PBE-GGA", "state": "optimized geometry", "delta_e_f_mev_per_atom": -334, "lattice": [[-3.425, 1.369, -3.839], [-0.624, -3.139, -4.255], [-4.515, -2.746, -0.643]], "species": ["Mg", "Tb", "La", "Ga"], "fractional_positions": [[0.750, 0.750, 0.750], [0.000, 0.000, 0.000], [0.500, 0.500, 0.500], [0.250, 0.250, 0.250]]}

=====

[7]
{"formula": "Sc2Fe2C3", "functional": "PBE-GGA", "state": "optimized geometry", "delta_e_f_mev_per_atom": -311, "lattice": [[3.127, 0.000, -0.932], [-0.448, 5.040, -1.503], [-0.176, 0.005, 5.122]], "species": ["Fe", "Fe", "Sc", "Sc", "C", "C", "C"], "fractional_positions": [[0.844, 0.613, 0.688], [0.156, 0.387, 0.312], [0.388, 0.186, 0.777], [0.612, 0.814, 0.223], [0.287, 0.745, 0.574], [0.000, 0.500, 0.000], [0.713, 0.255, 0.426]]}

=====

[8]
{"formula": "KLi2ThI8", "functional": "PBE-GGA", "state": "optimized geometry", "raw_formation_energy_ev_per_atom": -1.077, "lattice": [[7.864, 0.003, -0.261], [3.630, 6.976, -0.261], [0.100, 0.061, 10.282]], "species": ["Li", "Li", "I", "I", "I", "I", "I", "I", "I", "I", "Th", "K"], "fractional_positions": [[0.337, 0.337, 0.760], [0.663, 0.663, 0.240], [0.739, 0.739, 0.489], [0.772, 0.772, 0.011], [0.228, 0.228, 0.989], [0.751, 0.268, 0.218], [0.249, 0.732, 0.782], [0.732, 0.249, 0.782], [0.268, 0.751, 0.218], [0.261, 0.261, 0.511], [0.000, 0.000, 0.000], [0.000, 0.000, 0.500]]}

=====

Number 1: total moment 0.00 μB per cell. Number 2: total moment 0.00 μB per cell. Number 3: total moment 14.33 μB per cell. Number 4: total moment 0.00 μB per cell. Number 5: total moment 0.00 μB per cell. Number 6: total moment 0.00 μB per cell. Number 7: total moment 0.00 μB per cell. Number 8: total moment 0.23 μB per cell.